Material: NaNbHg
Method: DFT, GGA-PBE
State: optimized geometry

Values from the calculation:
Its total energy is -3.624 eV/atom. Its energy above the most stable polymorph in this dataset is 0.1721 eV per atom. The calculation puts the calculated volume at 129.4 Å³ per cell. The formation energy from the elements comes out at 26 kJ/mol of atoms.

```
NaNbHg
1.0
5.306 0.000 0.000
0.000 1.628 7.488
0.000 -1.628 7.488
Na Nb Hg
2 2 2
Cartesian
0.000 0.000 0.000
0.000 0.000 4.925
2.653 0.000 2.067
2.653 0.000 11.582
0.000 0.000 9.990
2.653 0.000 6.769
```

=====

Material: V5CrFe2Rh2
Method: DFT, GGA-PBE
State: optimized geometry

Values from the calculation:
Its total energy is -8.671 eV/atom. The calculation puts the calculated volume at 261.4 Å³ per cell. The formation energy from the elements comes out at 1 kJ/mol of atoms.

```
V5CrFe2Rh2
1.0
9.448 0.000 0.000
0.000 9.448 0.000
0.000 0.000 2.928
V Cr Fe Rh
10 2 4 4
Cartesian
0.000 4.724 0.000
0.637 1.819 0.000
1.819 8.811 0.000
2.905 4.087 0.000
4.087 6.544 0.000
4.724 0.000 0.000
5.362 2.905 0.000
6.544 5.362 0.000
7.629 0.637 0.000
8.811 7.629 0.000
0.000 0.000 1.464
4.724 4.724 1.464
1.222 3.502 1.464
3.502 8.226 1.464
5.946 1.222 1.464
8.226 5.946 1.464
1.610 6.334 1.464
3.114 1.610 1.464
6.334 7.838 1.464
7.838 3.114 1.464
```

=====

Material: CeY3Ho2Bi6
Method: DFT, GGA-PBE
State: optimized geometry

Values from the calculation:
Its total energy is -5.675 eV/atom. The calculation puts the calculated volume at 385.8 Å³ per cell. The formation energy from the elements comes out at -83 kJ/mol of atoms.

```
CeY3Ho2Bi6
1.0
3.893 -6.744 0.000
3.893 6.744 0.000
-2.599 0.000 7.347
Ce Y Ho Bi
1 3 2 6
Cartesian
0.000 0.000 0.000
2.593 4.523 3.674
2.593 0.000 3.674
2.593 -4.523 3.674
3.893 2.256 0.000
3.893 -2.256 0.000
1.312 2.274 1.848
0.029 0.000 5.518
1.312 -2.274 1.848
3.874 2.274 5.499
5.158 0.000 1.829
3.874 -2.274 5.499
```

=====

Material: NaCrAsBr2
Method: DFT, GGA-PBE
State: optimized geometry

Values from the calculation:
Its total energy is -4.196 eV/atom. Its energy above the most stable polymorph in this dataset is 0.0000 eV per atom. As for the formation energy (no corrections): -197 kJ/mol of formula units. The calculation puts the calculated volume at 137.2 Å³ per cell.

```
NaCrAsBr2
1.0
5.384 0.000 0.000
0.000 5.384 0.000
0.000 0.000 4.732
Na Cr As Br
1 1 1 2
Cartesian
0.000 0.000 0.000
2.692 2.692 2.366
2.692 2.692 0.000
0.000 2.692 2.366
2.692 0.000 2.366
```

=====

Material: PmTmPu2Sb4
Method: DFT, GGA-PBE
State: optimized geometry

Values from the calculation:
Its total energy is -7.652 eV/atom. As for the formation energy (no corrections): -660 kJ/mol of formula units. The calculation puts the calculated volume at 244.3 Å³ per cell.

```
PmTmPu2Sb4
1.0
7.640 0.000 0.000
0.000 4.427 0.000
-2.565 0.000 7.223
Pm Tm Pu Sb
1 1 2 4
Cartesian
0.000 0.000 0.000
-1.282 2.214 3.612
2.538 0.000 3.612
3.820 2.214 0.000
-0.004 0.000 5.381
1.278 2.214 1.849
3.797 2.214 5.374
5.079 0.000 1.843
```